Record 1
# GdTm2Al3Si2Pt | OQMD | PBE-GGA | relaxed
data_GdTm2Al3Si2Pt
_chemical_formula_sum 'Gd2 Tm4 Al6 Si4 Pt2'
_cell_length_a 4.210
_cell_length_b 11.928
_cell_length_c 6.875
_cell_angle_alpha 90.00
_cell_angle_beta 90.00
_cell_angle_gamma 90.00
_symmetry_space_group_name_H-M 'A m m 2'
_symmetry_Int_Tables_number 38
loop_
_symmetry_equiv_pos_as_xyz
'x,y,z'
'-x,-y,z'
'-x,y,z'
'x,-y,z'
'x,y+1/2,z+1/2'
'-x,-y+1/2,z+1/2'
'-x,y+1/2,z+1/2'
'x,-y+1/2,z+1/2'
loop_
_atom_site_label
_atom_site_type_symbol
_atom_site_fract_x
_atom_site_fract_y
_atom_site_fract_z
Gd1 Gd 0.000 0.000 0.000
Tm1 Tm 0.000 0.209 0.374
Al1 Al 0.500 0.000 0.344
Al2 Al 0.500 0.119 0.699
Si1 Si 0.500 0.169 0.083
Pt1 Pt 0.000 0.000 0.576
# Crystal system   orthorhombic
# Magnetic moment   0.04 Bohr magnetons per cell
# Total energy   -5.512 eV/atom

Record 2
# InTcAgSeS2 | OQMD | PBE-GGA | relaxed
data_InTcAgSeS2
_chemical_formula_sum 'In4 Tc4 Ag4 Se4 S8'
_cell_length_a 3.273
_cell_length_b 15.873
_cell_length_c 9.813
_cell_angle_alpha 90.00
_cell_angle_beta 90.00
_cell_angle_gamma 90.00
_symmetry_space_group_name_H-M 'C m c m'
_symmetry_Int_Tables_number 63
_symmetry_space_group_name_Hall '-C 2c 2'
loop_
_atom_site_label
_atom_site_type_symbol
_atom_site_fract_x
_atom_site_fract_y
_atom_site_fract_z
In1 In 0.000 0.176 0.250
Tc1 Tc 0.000 0.500 0.000
Ag1 Ag 0.000 0.177 0.750
Se1 Se 0.000 0.469 0.750
S1 S 0.000 0.112 0.518
# Crystal system   orthorhombic
# Magnetic moment   0.71 Bohr magnetons per cell
# Total energy   -4.827 eV/atom

Record 3
# BeNbGaNi | OQMD | PBE-GGA | relaxed
data_BeNbGaNi
_chemical_formula_sum 'Be4 Nb4 Ga4 Ni4'
_cell_length_a 5.923
_cell_length_b 5.923
_cell_length_c 5.923
_cell_angle_alpha 90.00
_cell_angle_beta 90.00
_cell_angle_gamma 90.00
_symmetry_space_group_name_H-M 'F -4 3 m'
_symmetry_Int_Tables_number 216
_symmetry_space_group_name_Hall 'F -4 2 3'
loop_
_atom_site_label
_atom_site_type_symbol
_atom_site_fract_x
_atom_site_fract_y
_atom_site_fract_z
Be1 Be 0.000 0.000 0.000
Nb1 Nb 0.250 0.250 0.750
Ga1 Ga 0.250 0.250 0.250
Ni1 Ni 0.000 0.000 0.500
# Energy above the lowest structure with this stoichiometry   0.0 meV per atom
# Crystal system   cubic
# Magnetic moment   0.01 Bohr magnetons per cell

Q: Look up the magnetic moment of the third one.
A: 0.01 Bohr magnetons per cell